Material: K2Mg9Cd6
Method: DFT, PBE-GGA
State: optimized geometry

Calculated values
N(E_F) ... 0.42 states/eV per atom
E_form ... 0.05 eV per atom
E ... -1.25 eV per atom

Cell: 6.3340 6.3340 14.2583 Å, 90.00 90.00 120.00°
Space group P6/mmm (No. 191)
One atom of each set of equivalent atoms:
K (0.0000, 0.0000, 0.1693) x2
Mg (0.0000, 0.5000, 0.0000) x3
Mg (0.0000, 0.5000, 0.3367) x6
Cd (0.3333, 0.6667, 0.1682) x4
Cd (0.3333, 0.6667, 0.5000) x2

***

Material: CdSnCl4
Method: DFT, PBE-GGA
State: optimized geometry

Calculated values
ΔE to the lowest computed polymorph ... 0.021 eV/atom
N(E_F) ... 0.00 states/eV per atom
Formation energy (no corrections) ... -0.9987 eV/atom
E ... -3.05 eV per atom

Cell: 5.530 5.530 12.574 Å, 90.00 90.00 90.00°
Space group I-4m2 (No. 119)
One atom of each set of equivalent atoms:
Cd (0.000, 0.000, 0.000) x2
Sn (0.000, 0.500, 0.250) x2
Cl (0.000, 0.000, 0.205) x4
Cl (0.000, 0.500, 0.023) x4

***

Material: Th2CdRuPb
Method: DFT, PBE-GGA
State: optimized geometry

Calculated values
N(E_F) ... 0.57 states/eV per atom
E_form ... -0.34 eV per atom
E ... -6.09 eV per atom

Cell: 7.805 4.243 9.067 Å, 90.00 114.49 90.00°
Space group P2_1/m (No. 11)
One atom of each set of equivalent atoms:
Th (0.049, 0.250, 0.192) x2
Th (0.437, 0.750, 0.143) x2
Cd (0.116, 0.250, 0.610) x2
Ru (0.222, 0.250, 0.955) x2
Pb (0.351, 0.750, 0.516) x2

***

Material: V2GaGe
Method: DFT, PBE-GGA
State: optimized geometry

Calculated values
N(E_F) ... 0.86 states/eV per atom
E_form ... 0.18 eV per atom
E ... -6.29 eV per atom

Cell: 6.765 6.765 5.386 Å, 90.00 90.00 90.00°
Space group I-42d (No. 122)
One atom of each set of equivalent atoms:
V (0.243, 0.250, 0.125) x8
Ga (0.000, 0.000, 0.500) x4
Ge (0.000, 0.000, 0.000) x4

***

Material: Np2NiSn8
Method: DFT, PBE-GGA
State: optimized geometry

Calculated values
N(E_F) ... 2.17 states/eV per atom
E_form ... -0.10 eV per atom
E ... -5.89 eV per atom

Cell: 4.645 4.645 12.374 Å, 90.00 90.00 90.00°
Space group P4/mmm (No. 123)
One atom of each set of equivalent atoms:
Np (0.000, 0.000, 0.190) x2
Ni (0.000, 0.000, 0.500) x1
Sn (0.000, 0.500, 0.000) x2
Sn (0.000, 0.500, 0.378) x4
Sn (0.500, 0.500, 0.189) x2

***

Material: SrTiAl2
Method: DFT, PBE-GGA
State: optimized geometry

Calculated values
ΔE to the lowest computed polymorph ... 0.288 eV/atom
N(E_F) ... 1.25 states/eV per atom
E_form ... 0.42 eV per atom
E ... -3.84 eV per atom

Cell: 5.032 5.032 19.061 Å, 90.00 90.00 90.00°
Space group I-42d (No. 122)
One atom of each set of equivalent atoms:
Sr (0.000, 0.000, 0.000) x4
Ti (0.000, 0.000, 0.500) x4
Al (0.059, 0.250, 0.625) x8

***

Material: AgPRu2
Method: DFT, PBE-GGA
State: optimized geometry

Calculated values
ΔE to the lowest computed polymorph ... 0.289 eV/atom
N(E_F) ... 0.81 states/eV per atom
E_form ... 0.27 eV per atom
E ... -6.44 eV per atom

Cell: 9.406 2.854 4.794 Å, 90.00 107.93 90.00°
Space group Cm (No. 8)
One atom of each set of equivalent atoms:
Ag (0.000, 0.000, 0.000) x2
P (0.242, 0.000, 0.692) x2
Ru (0.028, 0.500, 0.509) x2
Ru (0.277, 0.500, 0.332) x2